(1)
Here is a geometry-optimized HoGa4Ni structure from Alexandria. Energies are from PBE.

The calculation puts the density of states at the Fermi level at 3.37 states/eV/cell. The total magnetic moment is 0.00 μB/cell. The formation enthalpy at 0 K is -0.534 eV/atom. For the density, the calculation gives 8092 kg/m3.

Unit cell a=4.0932 b=6.6217 c=7.8688 alpha=90.00 beta=104.75 gamma=90.00
Last column: nearest neighbours and their distance in Å.
Space group P2_1/m (No. 11)
Asymmetric unit:
Ho 0.1226 0.2500 0.2418  11 Ga 2.90-3.23, 2 Ni 3.11-3.12
Ga 0.0689 0.7500 0.1392  1 Ni 2.36
Ga 0.3147 0.0523 0.6301  3 Ni 2.43-2.50, 1 Ga 2.62
Ga 0.5000 0.0000 0.0000  6 Ga 2.84
Ni 0.2245 0.7500 0.4495  7 Ga 2.36-2.50


(2)
Here is a geometry-optimized Ho2Ga3Ni structure from Alexandria. Energies are from PBE.

The calculation puts the density of states at the Fermi level at 5.85 states/eV/cell. The total magnetic moment is 0.00 μB/cell. The formation enthalpy at 0 K is -0.647 eV/atom. For the density, the calculation gives 8646 kg/m3.

Unit cell a=10.1606 b=4.3470 c=7.0656 alpha=90.00 beta=132.64 gamma=90.00
Last column: nearest neighbours and their distance in Å.
Space group Cm (No. 8)
Asymmetric unit:
Ho 0.0000 0.0000 0.0000  9 Ga 2.98-3.27, 3 Ni 3.14-3.20
Ho 0.0878 0.0000 0.5889  3 Ni 2.96-3.04, 8 Ga 2.99-3.18
Ga 0.1869 0.5000 0.9728  1 Ni 2.46, 2 Ga 2.61
Ga 0.2154 0.5000 0.4135  2 Ni 2.46, 1 Ga 2.67
Ga 0.3756 0.0000 0.1989  3 Ga 2.61-2.67, 1 Ni 2.66
Ni 0.3704 0.0000 0.5702  4 Ga 2.46-2.66


(3)
Here is a geometry-optimized Ho12Ga6Ni structure from Alexandria. Energies are from PBE.

The calculation puts the density of states at the Fermi level at 62.67 states/eV/cell. The total magnetic moment is 0.00 μB/cell. The formation enthalpy at 0 K is -0.212 eV/atom. For the density, the calculation gives 7428 kg/m3.

Unit cell a=12.6944 b=12.6944 c=11.8035 alpha=90.00 beta=90.00 gamma=120.00
Last column: nearest neighbours and their distance in Å.
Space group R-3 (No. 148, hexagonal axes)
Asymmetric unit:
Ho 0.0360 0.8238 0.3941  4 Ga 2.87-3.06
Ho 0.0462 0.8468 0.8852  1 Ni 2.66, 2 Ga 2.93-2.96
Ga 0.0508 0.7818 0.6475  7 Ho 2.87-3.21
Ni 0.0000 0.0000 0.0000  6 Ho 2.66


(4)
Here is a geometry-optimized HoGaNi2 structure from Alexandria. Energies are from PBE.

The calculation puts the density of states at the Fermi level at 1.56 states/eV/cell. The total magnetic moment is 0.00 μB/cell. The formation enthalpy at 0 K is -0.365 eV/atom. For the density, the calculation gives 9300 kg/m3.

Unit cell a=3.2084 b=3.2084 c=6.1065 alpha=90.00 beta=90.00 gamma=90.00
Last column: nearest neighbours and their distance in Å.
Space group P4/mmm (No. 123)
Asymmetric unit:
Ho 0.0000 0.0000 0.0000  8 Ni 2.89, 2 Ga 3.05, 4 Ho 3.21
Ga 0.0000 0.0000 0.5000  8 Ni 2.59
Ni 0.5000 0.5000 0.2944  1 Ni 2.51, 4 Ga 2.59


(5)
Here is a geometry-optimized Ho7Ga2Ni2 structure from Alexandria. Energies are from PBE.

The calculation puts the density of states at the Fermi level at 18.53 states/eV/cell. The total magnetic moment is 0.00 μB/cell. The formation enthalpy at 0 K is -0.260 eV/atom. For the density, the calculation gives 8331 kg/m3.

Unit cell a=7.6383 b=10.8713 c=6.7757 alpha=90.00 beta=90.00 gamma=90.00
Last column: nearest neighbours and their distance in Å.
Space group Cmmm (No. 65)
Asymmetric unit:
Ho 0.0000 0.0000 0.0000  2 Ni 3.22
Ho 0.0000 0.5000 0.2486  2 Ni 2.78, 2 Ga 3.06
Ho 0.2500 0.2500 0.2541  2 Ni 2.62
Ga 0.1666 0.0000 0.5000  1 Ga 2.55
Ni 0.0000 0.2966 0.0000  6 Ho 2.62-2.78


(6)
Here is a geometry-optimized Ho2Ga3Ni5 structure from Alexandria. Energies are from PBE.

The calculation puts the density of states at the Fermi level at 31.88 states/eV/cell. The total magnetic moment is 0.00 μB/cell. The formation enthalpy at 0 K is -0.492 eV/atom. For the polymorph energy (0 for the lowest one), the calculation gives 0.0159 eV per atom. For the density, the calculation gives 8761 kg/m3.

Unit cell a=9.9139 b=11.5075 c=5.5321 alpha=90.00 beta=90.00 gamma=90.00
Last column: nearest neighbours and their distance in Å.
Space group Ibam (No. 72)
Asymmetric unit:
Ho 0.2336 0.1301 0.0000  10 Ni 2.95-3.23, 3 Ga 3.05-3.08
Ga 0.0000 0.5000 0.2500  6 Ni 2.47
Ga 0.1035 0.1416 0.5000  5 Ni 2.35-2.39
Ni 0.0000 0.0000 0.2500  4 Ga 2.37
Ni 0.0000 0.2851 0.2500  3 Ga 2.39-2.47, 2 Ni 2.44
Ni 0.1620 0.3903 0.0000  3 Ga 2.35-2.47, 2 Ni 2.44


(7)
Here is a geometry-optimized HoGa8Ni2 structure from Alexandria. Energies are from PBE.

The calculation puts the density of states at the Fermi level at 8.82 states/eV/cell. The total magnetic moment is 0.00 μB/cell. The formation enthalpy at 0 K is -0.059 eV/atom. For the density, the calculation gives 5956 kg/m3.

Unit cell a=5.6556 b=5.6556 c=7.3233 alpha=90.00 beta=90.00 gamma=90.00
Last column: nearest neighbours and their distance in Å.
Space group P4/mmm (No. 123)
Asymmetric unit:
Ho 0.0000 0.0000 0.0000  8 Ga 3.01
Ga 0.2564 0.2564 0.3010  2 Ni 2.47, 2 Ga 2.76
Ni 0.0000 0.5000 0.5000  8 Ga 2.47


(8)
Here is a geometry-optimized Ho3Ga4Ni4 structure from Alexandria. Energies are from PBE.

The calculation puts the density of states at the Fermi level at 14.32 states/eV/cell. The total magnetic moment is 0.00 μB/cell. The formation enthalpy at 0 K is -0.574 eV/atom. For the density, the calculation gives 8686 kg/m3.

Unit cell a=3.6521 b=4.2036 c=25.1158 alpha=90.00 beta=90.00 gamma=90.00
Last column: nearest neighbours and their distance in Å.
Space group Immm (No. 71)
Asymmetric unit:
Ho 0.0000 0.0000 0.0000  4 Ni 3.05, 8 Ga 3.07
Ho 0.0000 0.5000 0.1471  6 Ga 3.02, 6 Ni 3.05-3.06
Ga 0.0000 0.0000 0.4486  2 Ni 2.40, 1 Ga 2.58
Ga 0.0000 0.5000 0.3062  5 Ni 2.39-2.46
Ni 0.0000 0.0000 0.2553  4 Ga 2.39-2.46
Ni 0.0000 0.5000 0.4029  3 Ga 2.40-2.43


(9)
Here is a geometry-optimized Ho2GaNi16 structure from Alexandria. Energies are from PBE.

The calculation puts the density of states at the Fermi level at 73.98 states/eV/cell. The total magnetic moment is 13.92 μB/cell. The formation enthalpy at 0 K is -0.252 eV/atom. For the density, the calculation gives 9247 kg/m3.

Unit cell a=8.2822 b=8.2822 c=12.1394 alpha=90.00 beta=90.00 gamma=120.00
Last column: nearest neighbours and their distance in Å.
Space group R3m (No. 160, hexagonal axes)
Asymmetric unit:
Ho 0.0000 0.0000 0.0000  19 Ni 2.90-3.20
Ho 0.0000 0.0000 0.3140  18 Ni 2.92-3.22, 1 Ga 3.07
Ga 0.0000 0.0000 0.5672  7 Ni 2.36-2.61
Ni 0.0000 0.0000 0.7615  1 Ga 2.36, 6 Ni 2.52-2.56
Ni 0.9999 0.2984 0.6601  8 Ni 2.38-2.52
Ni 0.0003 0.5002 0.5046  9 Ni 2.40-2.56
Ni 0.0006 0.5003 0.8141  8 Ni 2.39-2.52, 1 Ga 2.61
Ni 0.0011 0.5006 0.1594  9 Ni 2.38-2.52, 1 Ga 2.55


(10)
Here is a geometry-optimized HoGaNi structure from Alexandria. Energies are from PBE.

The calculation puts the density of states at the Fermi level at 4.50 states/eV/cell. The total magnetic moment is 0.00 μB/cell. The formation enthalpy at 0 K is -0.419 eV/atom. For the density, the calculation gives 9116 kg/m3.

Unit cell a=3.2278 b=3.2278 c=10.2571 alpha=90.00 beta=90.00 gamma=90.00
Last column: nearest neighbours and their distance in Å.
Space group I4mm (No. 107)
Asymmetric unit:
Ho 0.0000 0.0000 0.0000  5 Ni 2.96-3.24, 5 Ga 3.02-3.11, 4 Ho 3.23
Ga 0.0000 0.0000 0.2941  4 Ni 2.55
Ni 0.0000 0.0000 0.6838  4 Ga 2.55


(11)
Here is a geometry-optimized Ho3Ga6Ni5 structure from Alexandria. Energies are from PBE.

The calculation puts the density of states at the Fermi level at 14.94 states/eV/cell. The total magnetic moment is 0.00 μB/cell. The formation enthalpy at 0 K is -0.603 eV/atom. For the density, the calculation gives 8865 kg/m3.

Unit cell a=4.1042 b=12.3784 c=8.8977 alpha=90.00 beta=90.00 gamma=90.00
Last column: nearest neighbours and their distance in Å.
Space group Pmmn (No. 59, origin choice 2)
Asymmetric unit:
Ho 0.2500 0.0502 0.2469  6 Ni 2.89-3.22, 8 Ga 2.89-3.10
Ho 0.2500 0.7500 0.2638  6 Ni 2.84-3.06, 2 Ga 3.13
Ga 0.2500 0.0722 0.5894  4 Ni 2.48-2.63, 1 Ga 2.69
Ga 0.2500 0.2500 0.0363  4 Ni 2.47-2.61
Ga 0.2500 0.2500 0.4149  6 Ni 2.51-2.70, 2 Ga 2.69
Ga 0.2500 0.5996 0.9817  4 Ni 2.46-2.58
Ni 0.2500 0.0920 0.8668  5 Ga 2.46-2.58
Ni 0.2500 0.6378 0.5426  5 Ga 2.50-2.63, 2 Ni 2.55-2.78
Ni 0.2500 0.7500 0.7829  2 Ni 2.55, 6 Ga 2.57-2.70


(12)
Here is a geometry-optimized Ho2Ga2Ni3 structure from Alexandria. Energies are from PBE.

The calculation puts the density of states at the Fermi level at 9.75 states/eV/cell. The total magnetic moment is 0.00 μB/cell. The formation enthalpy at 0 K is -0.536 eV/atom. For the density, the calculation gives 9018 kg/m3.

Unit cell a=10.4650 b=3.7266 c=6.6640 alpha=90.00 beta=113.86 gamma=90.00
Last column: nearest neighbours and their distance in Å.
Space group C2/m (No. 12)
Asymmetric unit:
Ho 0.1238 0.0000 0.2632  6 Ni 2.83-3.05, 4 Ga 2.92-3.06
Ga 0.1562 0.0000 0.7408  5 Ni 2.43-2.57
Ni 0.0000 0.5000 0.5000  4 Ga 2.57, 2 Ni 2.65
Ni 0.1087 0.5000 0.9351  3 Ga 2.43-2.53, 1 Ni 2.65